[1]
A geometry-optimized Rb2HfTe4Au structure. Source: the Alexandria database, functional PBE-GGA.

abc: 6.430 8.057 14.092
angles: 84.78 76.81 66.48
Element x y z (fractional)
Rb 0.181 0.000 0.639
Rb 0.819 0.000 0.361
Rb 0.569 0.500 0.861
Rb 0.931 0.500 0.139
Hf 0.750 0.500 0.500
Hf 0.000 0.000 0.000
Te 0.292 0.785 0.116
Te 0.193 0.215 0.884
Te 0.923 0.785 0.884
Te 0.592 0.215 0.116
Te 0.458 0.715 0.384
Te 0.557 0.285 0.616
Te 0.827 0.715 0.616
Te 0.158 0.285 0.384
Au 0.250 0.500 0.500
Au 0.500 0.000 0.000

DOS(E_F) = 19.2 states/eV/cell
VASP energy = -66.92 eV/cell
formation energy from raw total energies = -5.73 eV/f.u.


[2]
A geometry-optimized Tb3Pd5Au structure. Source: the Alexandria database, functional PBE-GGA.

abc: 5.727 8.457 8.456
angles: 120.00 90.00 90.00
Element x y z (fractional)
Tb 0.750 0.349 0.349
Tb 0.750 0.000 0.651
Tb 0.750 0.651 0.000
Tb 0.250 0.651 0.651
Tb 0.250 0.000 0.349
Tb 0.250 0.349 0.000
Pd 0.000 0.667 0.333
Pd 0.500 0.333 0.667
Pd 0.000 0.333 0.667
Pd 0.500 0.667 0.333
Pd 0.750 0.681 0.681
Pd 0.750 0.000 0.319
Pd 0.750 0.319 0.000
Pd 0.250 0.319 0.319
Pd 0.250 0.000 0.681
Pd 0.250 0.681 0.000
Au 0.000 0.000 0.000
Au 0.500 0.000 0.000

DOS(E_F) = 8.6 states/eV/cell
E_form = -721 kJ/mol of formula units
energy above the most stable polymorph in this dataset = 0.0 meV/atom
VASP energy = -101.21 eV/cell


[3]
A geometry-optimized GaNi2Ge2 structure. Source: the Alexandria database, functional PBE-GGA.

abc: 3.994 3.994 5.755
angles: 69.70 69.70 90.00
Element x y z (fractional)
Ni 0.750 0.250 0.500
Ni 0.250 0.750 0.500
Ge 0.376 0.376 0.248
Ge 0.624 0.624 0.752
Ga 0.000 0.000 0.000

DOS(E_F) = 2.7 states/eV/cell
E_form = -13 kJ/mol of formula units
energy above the most stable polymorph in this dataset = 192.1 meV/atom
VASP energy = -23.96 eV/cell